K2Li9Bi6 | PBE-GGA | relaxed

Computed properties:
V, Å³/cell: 551.0
E_form, eV per atom: -0.3101
Theoretical density, g/cm3: 4.20

a b c (Å): 7.7102 7.7102 10.7031
angles (deg): 90.00 90.00 120.00
Space group P6/mmm (No. 191)
One atom of each set of equivalent atoms:
K (0.0000, 0.0000, 0.2296) (multiplicity 2)
Li (0.0000, 0.5000, 0.0000) (multiplicity 3)
Li (0.0000, 0.5000, 0.3367) (multiplicity 6)
Bi (0.3333, 0.6667, 0.1706) (multiplicity 4)
Bi (0.3333, 0.6667, 0.5000) (multiplicity 2)



Ce2Mg6Hg3 | PBE-GGA | relaxed

Computed properties:
V, Å³/cell: 280.9
E_form, eV per atom: -0.1426
Theoretical density, g/cm3: 6.08

a b c (Å): 8.5491 8.5491 4.4377
angles (deg): 90.00 90.00 120.00
Space group P-62m (No. 189)
One atom of each set of equivalent atoms:
Ce (0.3333, 0.6667, 0.0000) (multiplicity 2)
Mg (0.0000, 0.2839, 0.5000) (multiplicity 3)
Mg (0.0000, 0.7975, 0.0000) (multiplicity 3)
Hg (0.0000, 0.6039, 0.5000) (multiplicity 3)



BaAlCl2 | PBE-GGA | relaxed

Computed properties:
V, Å³/cell: 118.6
Energy relative to the elements, uncorrected, eV/atom: -1.14
Theoretical density, g/cm3: 3.29

a b c (Å): 4.3870 4.4487 6.0749
angles (deg): 90.00 90.00 90.00
Space group Pmm2 (No. 25)
One atom of each set of equivalent atoms:
Ba (0.0000, 0.0000, 0.0000) (multiplicity 1)
Al (0.5000, 0.5000, 0.6374) (multiplicity 1)
Cl (0.0000, 0.0000, 0.5100) (multiplicity 1)
Cl (0.5000, 0.5000, 0.2360) (multiplicity 1)



HfVGaRe | PBE-GGA | relaxed

Computed properties:
V, Å³/cell: 258.0
E_form, eV per atom: -0.1269
Theoretical density, g/cm3: 12.50

a b c (Å): 6.3659 6.3659 6.3659
angles (deg): 90.00 90.00 90.00
Space group F-43m (No. 216)
One atom of each set of equivalent atoms:
Hf (0.0000, 0.0000, 0.0000) (multiplicity 4)
V (0.0000, 0.0000, 0.5000) (multiplicity 4)
Ga (0.2500, 0.2500, 0.7500) (multiplicity 4)
Re (0.2500, 0.2500, 0.2500) (multiplicity 4)



ThSiRuC | PBE-GGA | relaxed

Computed properties:
V, Å³/cell: 134.0
Energy relative to the elements, uncorrected, eV/atom: -0.60
Theoretical density, g/cm3: 9.25

a b c (Å): 3.9859 3.9859 8.4352
angles (deg): 90.00 90.00 90.00
Space group P4/nmm (No. 129, origin choice 2)
One atom of each set of equivalent atoms:
Th (0.2500, 0.2500, 0.1598) (multiplicity 2)
Si (0.2500, 0.2500, 0.6521) (multiplicity 2)
Ru (0.2500, 0.7500, 0.5000) (multiplicity 2)
C (0.2500, 0.2500, 0.8734) (multiplicity 2)



LiZnCl | PBE-GGA | relaxed

Computed properties:
V, Å³/cell: 281.9
Energy relative to the elements, uncorrected, eV/atom: -0.58
Theoretical density, g/cm3: 2.54

a b c (Å): 6.5573 6.5573 6.5573
angles (deg): 90.00 90.00 90.00
Space group F-43m (No. 216)
One atom of each set of equivalent atoms:
Li (0.0000, 0.0000, 0.0000) (multiplicity 4)
Zn (0.2500, 0.2500, 0.7500) (multiplicity 4)
Cl (0.2500, 0.2500, 0.2500) (multiplicity 4)